5
Lattice="4.545 0.000 0.000 0.000 4.545 0.000 0.000 0.000 4.545" Properties=species:S:1:pos:R:3 comment="InCo3Pt (meta-GGA SCAN, PBEsol geometry)" formation_energy_kcal_per_mol_atoms=21.8 dos_ef_per_ev_fu=4.39 space_group="No. 221" magmom_total_mub_per_cell=6.9 pbc="T T T"
Co 0.000 2.272 0.000
Co 2.272 0.000 0.000
Pt 0.000 0.000 0.000
Co 0.000 0.000 2.272
In 2.272 2.272 2.272